Arrangement w

Sr2VMoO6 | PBE+U | relaxed

a b c (Å): 5.6738 5.6537 7.9411
angles (deg): 90.00 90.30 90.00
Closest atoms and distances in Å follow each position.
Element x y z (fractional)
Sr 0.9968 0.0121 0.7501  8 O 2.57-2.88
Sr 0.0032 0.9879 0.2499  8 O 2.57-2.88
Sr 0.5032 0.5121 0.7499  8 O 2.57-2.88
Sr 0.4968 0.4879 0.2501  8 O 2.57-2.88
O 0.9493 0.5046 0.2638  1 V 1.90, 1 Mo 2.12
O 0.2348 0.2318 0.0274  1 V 2.01, 1 Mo 2.03
O 0.7348 0.2682 0.5274  1 V 2.01, 1 Mo 2.03
O 0.2672 0.7356 0.0277  1 V 2.01, 1 Mo 2.03
O 0.4493 0.9954 0.7638  1 V 1.90, 1 Mo 2.12
O 0.7652 0.7682 0.9726  1 V 2.01, 1 Mo 2.03
O 0.5507 0.0046 0.2362  1 V 1.90, 1 Mo 2.12
O 0.2652 0.7318 0.4726  1 V 2.01, 1 Mo 2.03
O 0.2329 0.2356 0.4723  1 V 2.01, 1 Mo 2.03
O 0.7671 0.7644 0.5277  1 V 2.01, 1 Mo 2.03
O 0.7328 0.2644 0.9723  1 V 2.01, 1 Mo 2.03
O 0.0507 0.4954 0.7362  1 V 1.90, 1 Mo 2.12
Mo 0.0000 0.5000 0.0000  6 O 2.03-2.12
Mo 0.5000 0.0000 0.5000  6 O 2.03-2.12
V 0.5000 0.0000 0.0000  6 O 1.90-2.01
V 0.0000 0.5000 0.5000  6 O 1.90-2.01

Arrangement x

Sr2VMoO6 | PBE+U | relaxed

a b c (Å): 5.6555 5.6554 9.0117
angles (deg): 71.60 71.60 89.68
Closest atoms and distances in Å follow each position.
Element x y z (fractional)
O 0.4993 0.4995 0.5005  2 Mo 2.00-2.01
O 0.1245 0.1244 0.7513  1 V 2.00, 1 Mo 2.03
O 0.3753 0.3751 0.2497  1 Mo 2.02, 1 V 2.03
O 0.2506 0.2505 0.9997  2 V 2.00-2.01
O 0.0001 0.0000 0.5006  2 Mo 2.00-2.01
O 0.2376 0.7620 0.0003  2 V 1.90-2.09
O 0.7621 0.2377 0.0002  2 V 1.90-2.09
O 0.5097 0.9905 0.5000  2 Mo 1.92-2.07
O 0.8752 0.8753 0.2494  1 V 2.02, 1 Mo 2.03
O 0.6245 0.6245 0.7507  1 V 2.00, 1 Mo 2.02
O 0.7498 0.7499 0.9995  2 V 2.00-2.01
O 0.9904 0.5095 0.5000  2 Mo 1.92-2.07
Sr 0.8848 0.3850 0.2301  12 O 2.73-2.96
Sr 0.6150 0.1150 0.7699  12 O 2.72-2.96
Sr 0.1151 0.6151 0.7699  12 O 2.72-2.96
Sr 0.3849 0.8849 0.2302  12 O 2.73-2.96
V 0.5007 0.5007 0.9986  6 O 2.00-2.09
V 0.0007 0.0007 0.9986  6 O 1.90-2.02
Mo 0.2498 0.2498 0.5003  6 O 2.00-2.07
Mo 0.7498 0.7498 0.5005  6 O 1.92-2.03

Need the numbers? Relative energies in kJ/mol of atoms: arrangement w 0.0; arrangement x 1.7.